#one
Here is a geometry-optimized TiRe2Ir structure from the Alexandria database. Energies are from PBE.

Unit cell a=5.7087 b=5.7087 c=6.9893 alpha=65.90 beta=65.90 gamma=90.00
With the nearest neighbours (Å) after each atom.
Positions (direct):
Re 0.1024 0.6250 0.2500  2 Ir 2.40, 2 Ti 2.55
Re 0.6476 0.1250 0.2500  2 Ir 2.40, 2 Ti 2.55
Re 0.3750 0.3524 0.7500  2 Ir 2.40, 2 Ti 2.55
Re 0.8750 0.8976 0.7500  2 Ir 2.40, 2 Ti 2.55
Ti 0.5000 0.5000 0.0000  4 Re 2.55
Ti 0.2500 0.7500 0.5000  4 Re 2.55
Ir 0.0000 0.0000 0.0000  4 Re 2.40
Ir 0.7500 0.2500 0.5000  4 Re 2.40

Results
Calculated volume   185.9 Å³/cell
Total magnetic moment   0.000 μB/f.u.


#two
Here is a geometry-optimized TiRe2Ir structure from the Alexandria database. Energies are from PBE.

Unit cell a=4.4025 b=4.4025 c=4.4025 alpha=60.00 beta=60.00 gamma=60.00
With the nearest neighbours (Å) after each atom.
Positions (direct):
Ir 0.5000 0.5000 0.5000  8 Re 2.70
Re 0.7500 0.7500 0.7500  4 Ti 2.70, 4 Ir 2.70
Re 0.2500 0.2500 0.2500  4 Ir 2.70, 4 Ti 2.70
Ti 0.0000 0.0000 0.0000  8 Re 2.70

Results
Calculated volume   60.3 Å³/cell
Total magnetic moment   1.170 μB/f.u.


Relative energies, unit meV/atom: #one 1538; #two 0


#one
Here is a geometry-optimized TiRe3Ir structure from the Alexandria database. Energies are from PBE.

Unit cell a=4.4491 b=4.4491 c=4.4491 alpha=90.00 beta=90.00 gamma=90.00
With the nearest neighbours (Å) after each atom.
Positions (direct):
Re 0.5000 0.0000 0.0000  2 Ti 2.22
Re 0.0000 0.5000 0.0000  2 Ti 2.22
Re 0.0000 0.0000 0.5000  2 Ti 2.22
Ir 0.5000 0.5000 0.5000  12 Re 3.15
Ti 0.0000 0.0000 0.0000  6 Re 2.22

Results
Calculated volume   88.1 Å³/cell
Total magnetic moment   0.000 μB/f.u.


#two
Here is a geometry-optimized TiRe3Ir structure from the Alexandria database. Energies are from PBE.

Unit cell a=4.6855 b=4.6855 c=4.6855 alpha=90.00 beta=90.00 gamma=90.00
With the nearest neighbours (Å) after each atom.
Positions (direct):
Ir 0.0000 0.0000 0.0000  6 Re 2.34
Re 0.0000 0.0000 0.5000  2 Ir 2.34
Re 0.5000 0.0000 0.0000  2 Ir 2.34
Re 0.0000 0.5000 0.0000  2 Ir 2.34
Ti 0.5000 0.5000 0.5000  12 Re 3.31

Results
Calculated volume   102.9 Å³/cell
Total magnetic moment   0.000 μB/f.u.


Relative energies, unit meV/atom: #one 0; #two 9


#one
Here is a geometry-optimized Ti2ReIr structure from the Alexandria database. Energies are from PBE.

Unit cell a=4.3933 b=4.3933 c=4.3933 alpha=60.00 beta=60.00 gamma=60.00
With the nearest neighbours (Å) after each atom.
Positions (direct):
Ti 0.2500 0.2500 0.2500  4 Ir 2.69, 4 Re 2.69
Ti 0.7500 0.7500 0.7500  4 Re 2.69, 4 Ir 2.69
Ir 0.5000 0.5000 0.5000  8 Ti 2.69
Re 0.0000 0.0000 0.0000  8 Ti 2.69

Results
Calculated volume   60.0 Å³/cell
Total magnetic moment   0.000 μB/f.u.


#two
Here is a geometry-optimized Ti2ReIr structure from the Alexandria database. Energies are from PBE.

Unit cell a=3.1139 b=3.1139 c=6.2144 alpha=90.00 beta=90.00 gamma=90.00
With the nearest neighbours (Å) after each atom.
Positions (direct):
Ti 0.0000 0.0000 0.7435  4 Re 2.67, 4 Ir 2.72
Ti 0.0000 0.0000 0.2565  4 Re 2.67, 4 Ir 2.72
Re 0.5000 0.5000 0.5000  8 Ti 2.67
Ir 0.5000 0.5000 0.0000  8 Ti 2.72

Results
Calculated volume   60.3 Å³/cell
Total magnetic moment   0.000 μB/f.u.


Relative energies, unit meV/atom: #one 0; #two 22


#one
Here is a geometry-optimized Ti2ReIr structure from the Alexandria database. Energies are from PBE.

Unit cell a=5.6778 b=5.6778 c=6.8813 alpha=65.63 beta=65.63 gamma=90.00
With the nearest neighbours (Å) after each atom.
Positions (direct):
Ti 0.1282 0.6250 0.2500  2 Re 2.44, 2 Ir 2.46
Ti 0.3750 0.3782 0.7500  2 Re 2.44, 2 Ir 2.46
Ti 0.8750 0.8718 0.7500  2 Re 2.44, 2 Ir 2.46
Ti 0.6218 0.1250 0.2500  2 Re 2.44, 2 Ir 2.46
Re 0.5000 0.5000 0.0000  4 Ti 2.44
Re 0.2500 0.7500 0.5000  4 Ti 2.44
Ir 0.0000 0.0000 0.0000  4 Ti 2.46
Ir 0.7500 0.2500 0.5000  4 Ti 2.46

Results
Calculated volume   180.2 Å³/cell
Total magnetic moment   0.000 μB/f.u.


#two
Here is a geometry-optimized Ti2ReIr structure from the Alexandria database. Energies are from PBE.

Unit cell a=3.1265 b=4.3844 c=4.3844 alpha=90.00 beta=90.00 gamma=90.00
With the nearest neighbours (Å) after each atom.
Positions (direct):
Ti 0.0000 0.0000 0.5000  4 Re 2.69, 4 Ir 2.69
Ti 0.0000 0.5000 0.0000  4 Re 2.69, 4 Ir 2.69
Re 0.5000 0.5000 0.5000  8 Ti 2.69
Ir 0.5000 0.0000 0.0000  8 Ti 2.69

Results
Calculated volume   60.1 Å³/cell
Total magnetic moment   0.000 μB/f.u.


Relative energies, unit meV/atom: #one 1863; #two 0


#one
Here is a geometry-optimized TlRe2Ir structure from the Alexandria database. Energies are from PBE.

Unit cell a=4.5540 b=4.5540 c=4.5540 alpha=60.00 beta=60.00 gamma=60.00
With the nearest neighbours (Å) after each atom.
Positions (direct):
Re 0.0000 0.0000 0.0000  4 Tl 2.79, 4 Re 2.79
Re 0.2500 0.2500 0.2500  4 Re 2.79, 4 Ir 2.79
Tl 0.7500 0.7500 0.7500  4 Re 2.79, 4 Ir 2.79
Ir 0.5000 0.5000 0.5000  4 Re 2.79, 4 Tl 2.79

Results
Calculated volume   66.8 Å³/cell
Total magnetic moment   1.786 μB/f.u.


#two
Here is a geometry-optimized TlRe2Ir structure from the Alexandria database. Energies are from PBE.

Unit cell a=9.5323 b=9.5323 c=9.5323 alpha=17.24 beta=17.24 gamma=17.24
With the nearest neighbours (Å) after each atom.
Positions (direct):
Re 0.4931 0.4931 0.4931  3 Ir 2.71, 6 Re 2.86, 3 Tl 3.03
Re 0.0069 0.0069 0.0069  3 Ir 2.71, 6 Re 2.86, 3 Tl 3.03
Tl 0.2500 0.2500 0.2500  6 Tl 2.86, 6 Re 3.03
Ir 0.7500 0.7500 0.7500  6 Re 2.71, 6 Ir 2.86

Results
Calculated volume   66.4 Å³/cell
Total magnetic moment   0.000 μB/f.u.


#three
Here is a geometry-optimized TlRe2Ir structure from the Alexandria database. Energies are from PBE.

Unit cell a=9.3776 b=9.3776 c=9.3776 alpha=17.71 beta=17.71 gamma=17.71
With the nearest neighbours (Å) after each atom.
Positions (direct):
Ir 0.7433 0.7433 0.7433  3 Re 2.70, 6 Ir 2.89, 3 Tl 2.98
Re 0.2575 0.2575 0.2575  9 Re 2.68-2.89
Re 0.9999 0.9999 0.9999  9 Re 2.68-2.89, 3 Ir 2.70
Tl 0.4992 0.4992 0.4992  6 Tl 2.89, 3 Ir 2.98, 3 Re 3.04

Results
Calculated volume   66.6 Å³/cell
Total magnetic moment   0.000 μB/f.u.


#four
Here is a geometry-optimized TlRe2Ir structure from the Alexandria database. Energies are from PBE.

Unit cell a=4.9245 b=4.9245 c=4.9245 alpha=131.69 beta=131.69 gamma=70.71
With the nearest neighbours (Å) after each atom.
Positions (direct):
Re 0.2500 0.7500 0.5000  4 Tl 2.84, 4 Re 2.84, 4 Ir 2.85
Re 0.0000 0.0000 0.0000  4 Re 2.84, 4 Ir 2.84, 4 Tl 2.85
Ir 0.7500 0.2500 0.5000  4 Tl 2.84, 8 Re 2.84-2.85
Tl 0.5000 0.5000 0.0000  8 Re 2.84-2.85, 4 Ir 2.84

Results
Calculated volume   65.2 Å³/cell
Total magnetic moment   0.001 μB/f.u.


Relative energies, unit meV/atom: #one 428; #two 159; #three 0; #four 298


#one
Here is a geometry-optimized TlRe2Ir structure from the Alexandria database. Energies are from PBE.

Unit cell a=4.8189 b=4.8189 c=2.8604 alpha=90.00 beta=90.00 gamma=90.00
With the nearest neighbours (Å) after each atom.
Positions (direct):
Re 0.0000 0.0000 0.0000  4 Tl 2.80, 4 Ir 2.80, 2 Re 2.86
Re 0.5000 0.5000 0.0000  4 Tl 2.80, 4 Ir 2.80, 2 Re 2.86
Ir 0.0000 0.5000 0.5000  8 Re 2.80, 2 Ir 2.86
Tl 0.5000 0.0000 0.5000  8 Re 2.80, 2 Tl 2.86

Results
Calculated volume   66.4 Å³/cell
Total magnetic moment   0.000 μB/f.u.


#two
Here is a geometry-optimized TlRe2Ir structure from the Alexandria database. Energies are from PBE.

Unit cell a=2.8116 b=2.8116 c=8.3748 alpha=90.00 beta=90.00 gamma=90.00
With the nearest neighbours (Å) after each atom.
Positions (direct):
Re 0.0000 0.0000 0.9761  4 Ir 2.75, 4 Re 2.81, 4 Tl 3.04
Re 0.0000 0.0000 0.5239  4 Ir 2.75, 4 Re 2.81, 4 Tl 3.04
Ir 0.5000 0.5000 0.7500  8 Re 2.75, 4 Ir 2.81
Tl 0.5000 0.5000 0.2500  4 Tl 2.81, 8 Re 3.04

Results
Calculated volume   66.2 Å³/cell
Total magnetic moment   0.000 μB/f.u.


Relative energies, unit meV/atom: #one 332; #two 0


#one
Here is a geometry-optimized TlRe2Ir structure from the Alexandria database. Energies are from PBE.

Unit cell a=4.9503 b=4.9503 c=4.9389 alpha=80.03 beta=80.03 gamma=33.83
With the nearest neighbours (Å) after each atom.
Positions (direct):
Re 0.9872 0.9872 0.0301  4 Re 2.65-2.88, 3 Ir 2.72-2.89, 1 Tl 2.84
Re 0.5128 0.5128 0.4699  4 Re 2.65-2.88, 3 Ir 2.72-2.89, 1 Tl 2.84
Tl 0.7500 0.7500 0.7500  6 Re 2.84-2.99, 4 Ir 2.86, 2 Tl 2.88
Ir 0.2500 0.2500 0.2500  6 Re 2.72-2.89, 4 Tl 2.86, 2 Ir 2.88

Results
Calculated volume   66.3 Å³/cell
Total magnetic moment   0.000 μB/f.u.


#two
Here is a geometry-optimized TlRe2Ir structure from the Alexandria database. Energies are from PBE.

Unit cell a=4.4884 b=3.8429 c=3.8429 alpha=90.00 beta=90.00 gamma=90.00
With the nearest neighbours (Å) after each atom.
Positions (direct):
Re 0.0000 0.0000 0.0000  4 Re 2.72, 4 Tl 2.95, 4 Ir 2.95
Re 0.0000 0.5000 0.5000  4 Re 2.72, 4 Tl 2.95, 4 Ir 2.95
Ir 0.5000 0.0000 0.5000  4 Tl 2.72, 8 Re 2.95
Tl 0.5000 0.5000 0.0000  4 Ir 2.72, 8 Re 2.95

Results
Calculated volume   66.3 Å³/cell
Total magnetic moment   0.000 μB/f.u.


#three
Here is a geometry-optimized TlRe2Ir structure from the Alexandria database. Energies are from PBE.

Unit cell a=4.0556 b=2.8033 c=6.6716 alpha=65.10 beta=90.00 gamma=90.00
With the nearest neighbours (Å) after each atom.
Positions (direct):
Re 0.0000 0.4521 0.5484  1 Re 2.44
Re 0.0000 0.0479 0.9516  1 Re 2.44
Ir 0.5000 0.7500 0.7500  8 Re 2.75, 2 Ir 2.80, 2 Tl 3.03
Tl 0.5000 0.2500 0.2500  2 Tl 2.80, 2 Ir 3.03, 8 Re 3.05-3.06

Results
Calculated volume   68.8 Å³/cell
Total magnetic moment   0.000 μB/f.u.


#four
Here is a geometry-optimized TlRe2Ir structure from the Alexandria database. Energies are from PBE.

Unit cell a=5.1030 b=5.1030 c=5.0789 alpha=134.79 beta=134.79 gamma=66.27
With the nearest neighbours (Å) after each atom.
Positions (direct):
Ir 0.2500 0.7500 0.5000  4 Tl 2.75-2.79, 8 Re 2.90
Re 0.0000 0.0000 0.0000  4 Re 2.75-2.79, 4 Tl 2.90, 4 Ir 2.90
Re 0.5000 0.5000 0.0000  4 Re 2.75-2.79, 4 Tl 2.90, 4 Ir 2.90
Tl 0.7500 0.2500 0.5000  4 Ir 2.75-2.79, 8 Re 2.90

Results
Calculated volume   65.4 Å³/cell
Total magnetic moment   0.000 μB/f.u.


Relative energies, unit meV/atom: #one 0; #two 271; #three 60; #four 142


#one
Here is a geometry-optimized TlRe2Ir structure from the Alexandria database. Energies are from PBE.

Unit cell a=7.5636 b=7.5636 c=5.9622 alpha=50.63 beta=50.63 gamma=90.00
With the nearest neighbours (Å) after each atom.
Positions (direct):
Re 0.3750 0.4253 0.7500  2 Ir 2.51, 2 Re 2.74
Re 0.5747 0.1250 0.2500  2 Ir 2.51, 2 Re 2.74
Re 0.8750 0.8247 0.7500  2 Ir 2.51, 2 Re 2.74
Re 0.1753 0.6250 0.2500  2 Ir 2.51, 2 Re 2.74
Tl 0.0000 0.0000 0.0000  2 Ir 2.64
Tl 0.7500 0.2500 0.5000  2 Ir 2.64
Ir 0.5000 0.5000 0.0000  4 Re 2.51, 2 Tl 2.64
Ir 0.2500 0.7500 0.5000  4 Re 2.51, 2 Tl 2.64

Results
Calculated volume   150.7 Å³/cell
Total magnetic moment   0.000 μB/f.u.


#two
Here is a geometry-optimized TlRe2Ir structure from the Alexandria database. Energies are from PBE.

Unit cell a=2.8999 b=2.8999 c=7.9977 alpha=90.00 beta=90.00 gamma=90.00
With the nearest neighbours (Å) after each atom.
Positions (direct):
Re 0.0000 0.0000 0.0039  8 Re 2.67-2.90, 4 Ir 2.74
Re 0.5000 0.5000 0.2174  8 Re 2.67-2.90
Tl 0.0000 0.0000 0.5016  4 Tl 2.90, 4 Ir 3.01, 4 Re 3.06
Ir 0.5000 0.5000 0.7770  4 Re 2.74, 4 Ir 2.90, 4 Tl 3.01

Results
Calculated volume   67.3 Å³/cell
Total magnetic moment   0.000 μB/f.u.


Relative energies, unit meV/atom: #one 762; #two 0